[1]
Density functional theory data (PBE) for crystalline Al2ZnP at its relaxed geometry.

Geometry as POSCAR:
```
Al2ZnP
1.0
4.788 0.271 0.000
-0.844 4.721 0.000
0.000 0.000 2.767
P Zn Al
1 1 2
Direct
0.500 0.000 0.500 P
0.000 0.500 0.500 Zn
0.000 0.000 0.000 Al
0.500 0.500 0.000 Al
```

Output
polymorph energy (0 for the lowest one): 126 meV/atom
volume: 63.2 Å³ per cell
space-group type: Cmmm (65)
density of states at the Fermi level: 0.380 states/eV/atom
electronic total energy: -3.3985 eV/atom
formation enthalpy at 0 K: 3.3 kcal/mol of atoms

=====

[2]
Density functional theory data (PBE) for crystalline InCoBiRu2 at its relaxed geometry.

Geometry as POSCAR:
```
InCoBiRu2
1.0
-3.500 -1.160 3.155
-0.835 -4.662 -2.641
3.277 -2.190 2.830
Ru Co Bi In
2 1 1 1
Direct
0.000 0.000 0.500 Ru
0.500 0.000 0.000 Ru
0.500 0.500 0.500 Co
0.000 0.500 0.000 Bi
0.000 0.000 0.000 In
```

Output
volume: 127.7 Å³ per cell
space-group type: P4/mmm (123)
density of states at the Fermi level: 2.341 states/eV/atom
electronic total energy: -4.3071 eV/atom
formation enthalpy at 0 K: 49.5 kcal/mol of atoms

=====

[3]
Density functional theory data (PBE) for crystalline Nd3Te2 at its relaxed geometry.

Geometry as POSCAR:
```
Nd3Te2
1.0
-2.299 -3.533 0.742
2.587 -4.020 -11.125
10.037 -5.614 4.363
Nd Te
12 8
Direct
0.250 0.624 0.546 Nd
0.250 0.876 0.046 Nd
0.750 0.376 0.454 Nd
0.750 0.124 0.954 Nd
0.750 0.064 0.620 Nd
0.750 0.436 0.120 Nd
0.250 0.936 0.380 Nd
0.250 0.564 0.880 Nd
0.250 0.293 0.714 Nd
0.250 0.207 0.214 Nd
0.750 0.707 0.286 Nd
0.750 0.793 0.786 Nd
0.250 0.183 0.472 Te
0.250 0.317 0.972 Te
0.750 0.817 0.528 Te
0.750 0.683 0.028 Te
0.750 0.495 0.693 Te
0.750 0.005 0.193 Te
0.250 0.505 0.307 Te
0.250 0.995 0.807 Te
```

Output
polymorph energy (0 for the lowest one): 0 meV/atom
volume: 637.4 Å³ per cell
space-group type: Pnma (62)
uncorrected formation energy: -1149 meV/atom
density of states at the Fermi level: 0.938 states/eV/atom
electronic total energy: -5.2663 eV/atom

=====

[4]
Density functional theory data (PBE) for crystalline SrPAu at its relaxed geometry.

Geometry as POSCAR:
```
SrPAu
1.0
6.126 0.000 0.000
0.000 6.126 0.000
0.000 0.000 4.683
Sr Au P
2 2 2
Direct
0.000 0.000 0.500 Sr
0.500 0.500 0.500 Sr
0.000 0.500 0.998 Au
0.500 0.000 0.002 Au
0.000 0.500 0.498 P
0.500 0.000 0.502 P
```

Output
volume: 175.7 Å³ per cell
space-group type: P4/nmm (129)
density of states at the Fermi level: 0.251 states/eV/atom
electronic total energy: -4.1108 eV/atom
formation enthalpy at 0 K: -15.1 kcal/mol of atoms

=====

[5]
Density functional theory data (PBE) for crystalline MnZnIn2Br at its relaxed geometry.

Geometry as POSCAR:
```
MnZnIn2Br
1.0
5.831 0.000 0.000
0.000 5.247 0.000
0.000 0.000 5.831
Zn Mn Br In
1 1 1 2
Direct
0.500 0.500 0.500 Zn
0.000 0.500 0.000 Mn
0.000 0.000 0.000 Br
0.000 0.000 0.500 In
0.500 0.000 0.000 In
```

Output
volume: 178.4 Å³ per cell
space-group type: P4/mmm (123)
uncorrected formation energy: 745 meV/atom
density of states at the Fermi level: 0.852 states/eV/atom
electronic total energy: -2.7734 eV/atom

=====

[6]
Density functional theory data (PBE) for crystalline Mg3Ga3Ag at its relaxed geometry.

Geometry as POSCAR:
```
Mg3Ga3Ag
1.0
-3.936 1.022 -0.530
-3.226 -4.291 -0.181
-3.893 0.168 13.367
Mg Ga Ag
6 6 2
Direct
0.511 0.346 0.632 Mg
0.489 0.654 0.368 Mg
0.276 0.226 0.221 Mg
0.724 0.774 0.779 Mg
0.388 0.297 0.927 Mg
0.612 0.703 0.073 Mg
0.864 0.734 0.537 Ga
0.136 0.266 0.463 Ga
0.110 0.854 0.925 Ga
0.890 0.146 0.075 Ga
0.999 0.782 0.219 Ga
0.001 0.218 0.781 Ga
0.777 0.076 0.371 Ag
0.223 0.924 0.629 Ag
```

Output
polymorph energy (0 for the lowest one): 0 meV/atom
volume: 279.6 Å³ per cell
space-group type: C2/m (12)
density of states at the Fermi level: 0.276 states/eV/atom
electronic total energy: -2.5220 eV/atom
formation enthalpy at 0 K: -3.1 kcal/mol of atoms

=====

[7]
Density functional theory data (PBE) for crystalline PmThMg at its relaxed geometry.

Geometry as POSCAR:
```
PmThMg
1.0
3.575 0.000 0.000
0.000 3.575 0.000
0.000 0.000 14.088
Pm Th Mg
2 2 2
Direct
0.500 0.000 0.767 Pm
0.000 0.500 0.233 Pm
0.000 0.500 0.587 Th
0.500 0.000 0.413 Th
0.000 0.500 0.935 Mg
0.500 0.000 0.065 Mg
```

Output
polymorph energy (0 for the lowest one): 0 meV/atom
volume: 180.0 Å³ per cell
space-group type: P4/nmm (129)
density of states at the Fermi level: 1.338 states/eV/atom
electronic total energy: -4.6167 eV/atom
formation enthalpy at 0 K: -0.7 kcal/mol of atoms

=====

[8]
Density functional theory data (PBE) for crystalline Pr4Sm2Dy2Ho at its relaxed geometry.

Geometry as POSCAR:
```
Pr4Sm2Dy2Ho
1.0
5.152 0.000 0.000
-2.576 7.730 0.021
0.000 -2.606 7.679
Pr Sm Dy Ho
4 2 2 1
Direct
0.778 0.556 0.670 Pr
0.222 0.444 0.330 Pr
0.554 0.109 0.330 Pr
0.446 0.891 0.670 Pr
0.888 0.777 0.329 Sm
0.112 0.223 0.671 Sm
0.333 0.666 0.000 Dy
0.667 0.334 0.000 Dy
0.000 0.000 0.000 Ho
```

Output
volume: 306.1 Å³ per cell
space-group type: C2/m (12)
density of states at the Fermi level: 1.606 states/eV/atom
electronic total energy: -4.6833 eV/atom
formation enthalpy at 0 K: 0.5 kcal/mol of atoms